# NpTiSb2 PBE relaxed
# formation energy without anion corrections: -0.31 eV/atom
# ρ: 9.1 g/cm3
# polymorph energy (0 for the lowest one): 0.017 eV per atom
# total magnetization: 3.64 μB/f.u.
data_NpTiSb2
_symmetry_space_group_name_H-M 'P 1'
_symmetry_Int_Tables_number 1
_cell_length_a 4.287
_cell_length_b 4.287
_cell_length_c 10.894
_cell_angle_alpha 101.35
_cell_angle_beta 101.35
_cell_angle_gamma 90.00
loop_
_symmetry_equiv_pos_as_xyz
'x,y,z'
loop_
_atom_site_label
_atom_site_type_symbol
_atom_site_fract_x
_atom_site_fract_y
_atom_site_fract_z
Np1 Np 0.114 0.114 0.227
Np2 Np 0.886 0.886 0.773
Ti1 Ti 0.750 0.250 0.500
Ti2 Ti 0.250 0.750 0.500
Sb1 Sb 0.000 0.500 0.000
Sb2 Sb 0.339 0.339 0.679
Sb3 Sb 0.661 0.661 0.321
Sb4 Sb 0.500 0.000 0.000

=====

# NpTlSb2 PBE relaxed
# formation energy without anion corrections: -0.09 eV/atom
# ρ: 10.8 g/cm3
# polymorph energy (0 for the lowest one): 0.026 eV per atom
# total magnetization: 3.92 μB/f.u.
data_NpTlSb2
_symmetry_space_group_name_H-M 'P 1'
_symmetry_Int_Tables_number 1
_cell_length_a 4.362
_cell_length_b 4.916
_cell_length_c 4.916
_cell_angle_alpha 90.00
_cell_angle_beta 90.00
_cell_angle_gamma 90.00
loop_
_symmetry_equiv_pos_as_xyz
'x,y,z'
loop_
_atom_site_label
_atom_site_type_symbol
_atom_site_fract_x
_atom_site_fract_y
_atom_site_fract_z
Sb1 Sb 0.000 0.000 0.500
Sb2 Sb 0.000 0.500 0.000
Np1 Np 0.500 0.500 0.500
Tl1 Tl 0.500 0.000 0.000

=====

# NpTlSb PBE relaxed
# formation energy without anion corrections: 0.16 eV/atom
# ρ: 11.6 g/cm3
# polymorph energy (0 for the lowest one): 0.155 eV per atom
# total magnetization: 4.87 μB/f.u.
data_NpTlSb
_symmetry_space_group_name_H-M 'P 1'
_symmetry_Int_Tables_number 1
_cell_length_a 3.177
_cell_length_b 5.424
_cell_length_c 5.424
_cell_angle_alpha 120.00
_cell_angle_beta 90.00
_cell_angle_gamma 90.00
loop_
_symmetry_equiv_pos_as_xyz
'x,y,z'
loop_
_atom_site_label
_atom_site_type_symbol
_atom_site_fract_x
_atom_site_fract_y
_atom_site_fract_z
Tl1 Tl 0.830 0.333 0.667
Np1 Np 0.334 0.667 0.333
Sb1 Sb 0.836 0.000 0.000

=====

# NpTlSb2 PBE relaxed
# formation energy without anion corrections: -0.11 eV/atom
# ρ: 10.2 g/cm3
# polymorph energy (0 for the lowest one): 0.000 eV per atom
# total magnetization: 4.13 μB/f.u.
data_NpTlSb2
_symmetry_space_group_name_H-M 'P 1'
_symmetry_Int_Tables_number 1
_cell_length_a 4.082
_cell_length_b 4.082
_cell_length_c 6.677
_cell_angle_alpha 90.00
_cell_angle_beta 90.00
_cell_angle_gamma 90.00
loop_
_symmetry_equiv_pos_as_xyz
'x,y,z'
loop_
_atom_site_label
_atom_site_type_symbol
_atom_site_fract_x
_atom_site_fract_y
_atom_site_fract_z
Np1 Np 0.500 0.500 0.000
Tl1 Tl 0.500 0.500 0.500
Sb1 Sb 0.000 0.000 0.776
Sb2 Sb 0.000 0.000 0.224

=====

# NpTlSb PBE relaxed
# formation energy without anion corrections: 0.01 eV/atom
# ρ: 11.6 g/cm3
# polymorph energy (0 for the lowest one): 0.000 eV per atom
# total magnetization: 0.00 μB/f.u.
data_NpTlSb
_symmetry_space_group_name_H-M 'P 1'
_symmetry_Int_Tables_number 1
_cell_length_a 3.564
_cell_length_b 3.564
_cell_length_c 14.850
_cell_angle_alpha 83.11
_cell_angle_beta 83.11
_cell_angle_gamma 60.00
loop_
_symmetry_equiv_pos_as_xyz
'x,y,z'
loop_
_atom_site_label
_atom_site_type_symbol
_atom_site_fract_x
_atom_site_fract_y
_atom_site_fract_z
Sb1 Sb 0.263 0.263 0.212
Sb2 Sb 0.737 0.737 0.788
Np1 Np 0.652 0.652 0.044
Np2 Np 0.348 0.348 0.956
Tl1 Tl 0.132 0.132 0.604
Tl2 Tl 0.868 0.868 0.396

=====

# NpTlSb PBE relaxed
# formation energy without anion corrections: 0.14 eV/atom
# ρ: 11.5 g/cm3
# polymorph energy (0 for the lowest one): 0.136 eV per atom
# total magnetization: 4.95 μB/f.u.
data_NpTlSb
_symmetry_space_group_name_H-M 'P 1'
_symmetry_Int_Tables_number 1
_cell_length_a 3.843
_cell_length_b 3.843
_cell_length_c 6.146
_cell_angle_alpha 108.22
_cell_angle_beta 108.22
_cell_angle_gamma 90.00
loop_
_symmetry_equiv_pos_as_xyz
'x,y,z'
loop_
_atom_site_label
_atom_site_type_symbol
_atom_site_fract_x
_atom_site_fract_y
_atom_site_fract_z
Tl1 Tl 0.606 0.606 0.212
Sb1 Sb 0.953 0.953 0.905
Np1 Np 0.291 0.291 0.583

=====

# NpTlSb2 PBE relaxed
# formation energy without anion corrections: 0.08 eV/atom
# ρ: 8.8 g/cm3
# polymorph energy (0 for the lowest one): 0.190 eV per atom
# total magnetization: 3.61 μB/f.u.
data_NpTlSb2
_symmetry_space_group_name_H-M 'P 1'
_symmetry_Int_Tables_number 1
_cell_length_a 4.732
_cell_length_b 4.732
_cell_length_c 7.211
_cell_angle_alpha 70.85
_cell_angle_beta 70.85
_cell_angle_gamma 60.00
loop_
_symmetry_equiv_pos_as_xyz
'x,y,z'
loop_
_atom_site_label
_atom_site_type_symbol
_atom_site_fract_x
_atom_site_fract_y
_atom_site_fract_z
Sb1 Sb 0.074 0.074 0.777
Sb2 Sb 0.264 0.264 0.208
Np1 Np 0.666 0.666 0.002
Tl1 Tl 0.495 0.495 0.514

=====

# Np2TlSb PBE relaxed
# formation energy without anion corrections: 0.09 eV/atom
# ρ: 12.7 g/cm3
# total magnetization: 9.61 μB/f.u.
data_Np2TlSb
_symmetry_space_group_name_H-M 'P 1'
_symmetry_Int_Tables_number 1
_cell_length_a 4.554
_cell_length_b 4.791
_cell_length_c 4.791
_cell_angle_alpha 90.00
_cell_angle_beta 90.00
_cell_angle_gamma 90.00
loop_
_symmetry_equiv_pos_as_xyz
'x,y,z'
loop_
_atom_site_label
_atom_site_type_symbol
_atom_site_fract_x
_atom_site_fract_y
_atom_site_fract_z
Np1 Np 0.000 0.500 0.000
Np2 Np 0.000 0.000 0.500
Tl1 Tl 0.500 0.500 0.500
Sb1 Sb 0.500 0.000 0.000

=====

# NpTlSb2 PBE relaxed
# formation energy without anion corrections: 0.10 eV/atom
# ρ: 8.5 g/cm3
# polymorph energy (0 for the lowest one): 0.209 eV per atom
# total magnetization: 3.38 μB/f.u.
data_NpTlSb2
_symmetry_space_group_name_H-M 'P 1'
_symmetry_Int_Tables_number 1
_cell_length_a 4.437
_cell_length_b 4.437
_cell_length_c 8.264
_cell_angle_alpha 74.43
_cell_angle_beta 74.43
_cell_angle_gamma 60.00
loop_
_symmetry_equiv_pos_as_xyz
'x,y,z'
loop_
_atom_site_label
_atom_site_type_symbol
_atom_site_fract_x
_atom_site_fract_y
_atom_site_fract_z
Sb1 Sb 0.262 0.262 0.215
Sb2 Sb 0.738 0.738 0.785
Np1 Np 0.000 0.000 0.000
Tl1 Tl 0.500 0.500 0.500

=====

# TmNpSb2 PBE relaxed
# formation energy without anion corrections: -0.42 eV/atom
# ρ: 10.3 g/cm3
# polymorph energy (0 for the lowest one): 0.206 eV per atom
# total magnetization: 4.21 μB/f.u.
data_TmNpSb2
_symmetry_space_group_name_H-M 'P 1'
_symmetry_Int_Tables_number 1
_cell_length_a 3.835
_cell_length_b 5.233
_cell_length_c 5.233
_cell_angle_alpha 90.00
_cell_angle_beta 90.00
_cell_angle_gamma 90.00
loop_
_symmetry_equiv_pos_as_xyz
'x,y,z'
loop_
_atom_site_label
_atom_site_type_symbol
_atom_site_fract_x
_atom_site_fract_y
_atom_site_fract_z
Tm1 Tm 0.500 0.500 0.500
Np1 Np 0.500 0.000 0.000
Sb1 Sb 0.000 0.000 0.500
Sb2 Sb 0.000 0.500 0.000

=====

# Tm3NpSb4 PBE relaxed
# formation energy without anion corrections: -0.84 eV/atom
# ρ: 8.8 g/cm3
# total magnetization: 3.95 μB/f.u.
data_Tm3NpSb4
_symmetry_space_group_name_H-M 'P 1'
_symmetry_Int_Tables_number 1
_cell_length_a 7.539
_cell_length_b 7.540
_cell_length_c 8.718
_cell_angle_alpha 90.00
_cell_angle_beta 90.00
_cell_angle_gamma 109.52
loop_
_symmetry_equiv_pos_as_xyz
'x,y,z'
loop_
_atom_site_label
_atom_site_type_symbol
_atom_site_fract_x
_atom_site_fract_y
_atom_site_fract_z
Sb1 Sb 0.500 0.253 0.874
Sb2 Sb 0.500 0.747 0.126
Sb3 Sb 0.000 0.253 0.126
Sb4 Sb 0.000 0.747 0.874
Sb5 Sb 0.999 0.749 0.377
Sb6 Sb 0.001 0.251 0.623
Sb7 Sb 0.501 0.251 0.377
Sb8 Sb 0.499 0.749 0.623
Tm1 Tm 0.750 0.500 0.624
Tm2 Tm 0.250 0.500 0.873
Tm3 Tm 0.250 0.000 0.625
Tm4 Tm 0.750 0.500 0.127
Tm5 Tm 0.250 0.500 0.376
Tm6 Tm 0.750 0.000 0.375
Np1 Np 0.250 0.000 0.126
Np2 Np 0.750 0.000 0.874

=====

# TmNp2Sb3 PBE relaxed
# formation energy without anion corrections: -0.48 eV/atom
# ρ: 9.4 g/cm3
# total magnetization: 7.91 μB/f.u.
data_TmNp2Sb3
_symmetry_space_group_name_H-M 'P 1'
_symmetry_Int_Tables_number 1
_cell_length_a 4.380
_cell_length_b 4.380
_cell_length_c 9.765
_cell_angle_alpha 102.96
_cell_angle_beta 102.97
_cell_angle_gamma 90.00
loop_
_symmetry_equiv_pos_as_xyz
'x,y,z'
loop_
_atom_site_label
_atom_site_type_symbol
_atom_site_fract_x
_atom_site_fract_y
_atom_site_fract_z
Sb1 Sb 0.269 0.270 0.543
Sb2 Sb 0.934 0.936 0.874
Sb3 Sb 0.600 0.601 0.205
Tm1 Tm 0.434 0.436 0.874
Np1 Np 0.768 0.769 0.540
Np2 Np 0.101 0.102 0.207

=====

- Look up the ρ of the third one.
  11.6 g/cm3